Entry 1:
VASP calculation (PBEsol) on Ta2ZnSb after structural relaxation.

Values from the calculation:
For the calculated total energy, the calculation gives -7.674 eV per atom. The mass density comes out at 12.955 Mg/m³.

```
4
Lattice="-1.794 2.221 4.417 1.794 -2.221 4.417 1.794 2.221 -4.417" Properties=species:S:1:pos:R:3 pbc="T T T"
Ta 0.000 0.000 0.000
Ta 0.000 2.221 2.272
Zn 1.794 0.000 2.208
Sb 0.000 0.000 4.415
```



Entry 2:
VASP calculation (PBEsol) on TaZn2Sb after structural relaxation.

Values from the calculation:
For the calculated total energy, the calculation gives -4.905 eV per atom. The mass density comes out at 10.179 Mg/m³.

```
4
Lattice="4.941 -1.436 0.000 4.941 1.436 0.000 -0.650 0.000 4.985" Properties=species:S:1:pos:R:3 pbc="T T T"
Ta 0.000 0.000 0.000
Zn 2.261 0.000 3.588
Zn 4.856 0.000 2.620
Sb 7.238 0.000 1.062
```



Entry 3:
VASP calculation (PBEsol) on TaZnSb2 after structural relaxation.

Values from the calculation:
For the calculated total energy, the calculation gives -5.543 eV per atom. The mass density comes out at 10.070 Mg/m³.

```
4
Lattice="4.851 -1.574 0.000 4.851 1.574 0.000 -0.501 0.000 5.290" Properties=species:S:1:pos:R:3 pbc="T T T"
Ta 0.000 0.000 0.000
Zn 4.600 0.000 2.645
Sb 2.235 0.000 4.028
Sb 6.965 0.000 1.261
```



Entry 4:
VASP calculation (PBEsol) on TaZnSb2 after structural relaxation.

Values from the calculation:
For the calculated total energy, the calculation gives -5.644 eV per atom. The mass density comes out at 9.310 Mg/m³.

```
4
Lattice="2.951 0.000 0.000 0.000 3.789 0.000 0.000 0.000 7.815" Properties=species:S:1:pos:R:3 pbc="T T T"
Ta 0.000 0.000 0.000
Zn 1.475 1.894 1.388
Sb 0.000 0.000 2.972
Sb 1.475 1.894 6.014
```



Entry 5:
VASP calculation (PBEsol) on TaZnSb2 after structural relaxation.

Values from the calculation:
For the calculated total energy, the calculation gives -5.383 eV per atom. The mass density comes out at 10.104 Mg/m³.

```
4
Lattice="3.439 0.000 0.000 0.000 4.632 0.000 0.000 0.000 5.054" Properties=species:S:1:pos:R:3 pbc="T T T"
Ta 0.000 0.000 0.000
Zn 1.720 0.000 2.527
Sb 0.000 2.316 2.527
Sb 1.720 2.316 0.000
```



Entry 6:
VASP calculation (PBEsol) on Ta2ZnSb after structural relaxation.

Values from the calculation:
For the calculated total energy, the calculation gives -7.805 eV per atom. The mass density comes out at 12.737 Mg/m³.

```
4
Lattice="3.510 0.000 0.000 0.000 3.510 0.000 0.000 0.000 5.811" Properties=species:S:1:pos:R:3 pbc="T T T"
Ta 0.000 0.000 0.000
Ta 1.755 1.755 1.341
Zn 0.000 0.000 2.703
Sb 1.755 1.755 4.219
```



Entry 7:
VASP calculation (PBEsol) on Ta2ZnSb after structural relaxation.

Values from the calculation:
For the calculated total energy, the calculation gives -7.652 eV per atom. The mass density comes out at 11.703 Mg/m³.

```
4
Lattice="1.808 -2.312 0.000 1.808 2.312 0.000 0.000 0.000 9.322" Properties=species:S:1:pos:R:3 pbc="T T T"
Ta 0.000 0.000 0.000
Ta 1.808 0.000 2.162
Zn 0.000 0.000 4.118
Sb 1.808 0.000 7.081
```



Entry 8:
VASP calculation (PBEsol) on TaZnSb2 after structural relaxation.

Values from the calculation:
For the calculated total energy, the calculation gives -5.616 eV per atom. The mass density comes out at 9.532 Mg/m³.

```
4
Lattice="3.555 0.000 0.000 0.000 3.555 0.000 0.000 0.000 6.755" Properties=species:S:1:pos:R:3 pbc="T T T"
Ta 0.000 0.000 0.000
Zn 1.777 1.777 1.410
Sb 0.000 0.000 2.757
Sb 1.777 1.777 5.391
```



Entry 9:
VASP calculation (PBEsol) on ZrTa2Sb after structural relaxation.

Values from the calculation:
For the calculated total energy, the calculation gives -9.732 eV per atom. The mass density comes out at 12.378 Mg/m³.

```
4
Lattice="-2.138 2.138 4.218 2.138 -2.138 4.218 2.138 2.138 -4.218" Properties=species:S:1:pos:R:3 pbc="T T T"
Zr 0.000 0.000 0.000
Ta 2.138 0.000 2.109
Ta 0.000 0.000 4.218
Sb 0.000 2.138 2.109
```



Entry 10:
VASP calculation (PBEsol) on ZrTa2Sb after structural relaxation.

Values from the calculation:
For the calculated total energy, the calculation gives -9.840 eV per atom. The mass density comes out at 12.497 Mg/m³.

```
4
Lattice="3.800 0.000 0.000 0.000 4.405 0.000 0.000 0.000 4.564" Properties=species:S:1:pos:R:3 pbc="T T T"
Zr 0.000 0.000 0.000
Ta 0.000 2.202 2.282
Ta 1.900 0.000 2.282
Sb 1.900 2.202 0.000
```



Entry 11:
VASP calculation (PBEsol) on ZrTa2Sb after structural relaxation.

Values from the calculation:
For the calculated total energy, the calculation gives -9.516 eV per atom. The mass density comes out at 11.982 Mg/m³.

```
4
Lattice="2.986 0.000 0.000 0.000 2.986 0.000 0.000 0.000 8.937" Properties=species:S:1:pos:R:3 pbc="T T T"
Zr 0.000 0.000 0.000
Ta 0.000 0.000 4.513
Ta 1.493 1.493 6.703
Sb 1.493 1.493 2.381
```



Entry 12:
VASP calculation (PBEsol) on TbSb after structural relaxation.

Values from the calculation:
For the calculated total energy, the calculation gives -5.952 eV per atom. The mass density comes out at 8.114 Mg/m³.

```
2
Lattice="0.000 3.062 3.062 3.062 0.000 3.062 3.062 3.062 0.000" Properties=species:S:1:pos:R:3 pbc="T T T"
Tb 0.000 0.000 0.000
Sb 3.062 3.062 3.062
```